# 1
## DyAl2Ga3 (PBE)

Data for an optimized crystal structure of DyAl2Ga3.

abc: 4.5839 4.5839 6.2200
angles: 90.00 90.00 120.00
Space group P-3m1 (No. 164)
Unique sites:
Dy 0.0000 0.0000 0.0000 [1 per cell]
Al 0.3333 0.6667 0.6986 [2 per cell]
Ga 0.0000 0.0000 0.5000 [1 per cell]
Ga 0.3333 0.6667 0.2581 [2 per cell]

Properties
Total energy, eV/atom: -3.84
Energy above the most stable polymorph in this dataset, meV per atom: 0
ΔH_f (0 K), meV per atom: -316
D(E_F), states/eV/f.u.: 1.9


# 2
## DyAlGaGe (PBE)

Data for an optimized crystal structure of DyAlGaGe.

abc: 4.122 4.296 4.426
angles: 90.00 90.00 90.00
Space group Pmmm (No. 47)
Unique sites:
Dy 0.000 0.000 0.000 [1 per cell]
Al 0.000 0.500 0.500 [1 per cell]
Ga 0.500 0.000 0.500 [1 per cell]
Ge 0.500 0.500 0.000 [1 per cell]

Properties
Total energy, eV/atom: -4.46
ΔH_f (0 K), meV per atom: -466
D(E_F), states/eV/f.u.: 1.3